(1)
! PBE-GGA K3Si, optimized geometry; values from VASP
! ΔE to the lowest computed polymorph, meV per atom: 373
! SG: P-6m2, No. 187
! Crystal system: hexagonal
&SYSTEM
  ibrav = 0, nat = 4, ntyp = 2
/
ATOMIC_SPECIES
Si 28.09 Si.upf
K 39.10 K.upf
CELL_PARAMETERS angstrom
-3.652 -0.415 -2.251
3.326 -2.625 -0.787
-4.489 -8.330 8.817
ATOMIC_POSITIONS angstrom
Si -4.693 -7.399 4.849
K -4.161 -7.722 8.173
K -2.448 -3.234 0.441
K -2.572 -4.773 5.052

(2)
! PBE-GGA TbDy2CdC, optimized geometry; values from VASP
! Formation enthalpy at 0 K, meV/atom: -295
! SG: P4/mmm, No. 123
! Crystal system: tetragonal
&SYSTEM
  ibrav = 0, nat = 5, ntyp = 4
/
ATOMIC_SPECIES
Dy 162.50 Dy.upf
Tb 158.93 Tb.upf
Cd 112.41 Cd.upf
C 12.01 C.upf
CELL_PARAMETERS angstrom
-0.157 4.639 -1.791
-3.718 1.051 3.048
3.221 1.435 3.433
ATOMIC_POSITIONS angstrom
Dy 1.610 0.717 1.717
Dy -1.859 0.526 1.524
Tb -0.079 2.320 -0.896
Cd -0.327 3.563 2.345
C 0.000 0.000 0.000

(3)
! PBE-GGA HfNbBi, optimized geometry; values from VASP
! Formation enthalpy at 0 K, meV/atom: 204
! SG: Immm, No. 71
! Crystal system: orthorhombic
&SYSTEM
  ibrav = 0, nat = 6, ntyp = 3
/
ATOMIC_SPECIES
Hf 178.49 Hf.upf
Bi 208.98 Bi.upf
Nb 92.91 Nb.upf
CELL_PARAMETERS angstrom
-4.748 1.080 7.033
-7.965 -1.891 2.481
7.932 -1.524 -2.816
ATOMIC_POSITIONS angstrom
Hf -3.094 -0.521 5.616
Hf -1.686 -1.814 1.082
Bi -0.594 -0.361 3.745
Bi -4.187 -1.974 2.954
Nb 2.435 -0.339 3.224
Nb 0.750 -0.105 0.993

(4)
! PBE-GGA KNa2GeS4, optimized geometry; values from VASP
! SG: I-42m, No. 121
! E, eV/atom: -3.88
! Crystal system: tetragonal
&SYSTEM
  ibrav = 0, nat = 8, ntyp = 4
/
ATOMIC_SPECIES
S 32.06 S.upf
Na 22.99 Na.upf
Ge 72.64 Ge.upf
K 39.10 K.upf
CELL_PARAMETERS angstrom
7.233 0.000 0.000
3.617 5.443 -0.661
3.617 -0.054 5.483
ATOMIC_POSITIONS angstrom
S 2.306 2.541 0.616
S 9.539 2.848 4.207
S 4.928 0.893 2.457
S 12.161 4.496 2.365
Na 7.233 1.323 3.944
Na 7.233 4.066 0.878
Ge 3.617 2.695 2.411
K 0.000 0.000 0.000